{"formula": "Ba8Na6Au", "functional": "PBE-GGA", "state": "optimized geometry", "dft_energy_ev_per_cell": -27.71, "dos_ef_per_ev_fu": 10.08, "lattice_angstrom": [[6.8834, 0.0000, 0.0000], [0.0000, 9.9542, -5.7471], [0.0000, 0.0000, 11.4942]], "species": ["Ba", "Ba", "Ba", "Ba", "Ba", "Ba", "Ba", "Ba", "Na", "Na", "Na", "Na", "Na", "Na", "Au"], "fractional_positions": [[0.7500, 0.3333, 0.6667], [0.2485, 0.9862, 0.7579], [0.7515, 0.2283, 0.9862], [0.7515, 0.7579, 0.7717], [0.2485, 0.2421, 0.2283], [0.7515, 0.0138, 0.2421], [0.2485, 0.7717, 0.0138], [0.2500, 0.6667, 0.3333], [0.7482, 0.6117, 0.0855], [0.2518, 0.3883, 0.9145], [0.7482, 0.9145, 0.5262], [0.2518, 0.5262, 0.6117], [0.2518, 0.0855, 0.4738], [0.7482, 0.4738, 0.3883], [0.5000, 0.0000, 0.0000]]}